1.
{"formula": "BaCa2Ru", "functional": "PBE-GGA", "state": "relaxed", "dos_at_fermi_per_ev_cell": 2.842, "volume_a3_per_fu": 119, "space_group": "No. 123", "magmom_total_mub_per_fu": 0.00, "ef_mev_per_atom": 487.6, "lattice_angstrom": [[4.8806, 0.0000, 0.0000], [0.0000, 4.8806, 0.0000], [0.0000, 0.0000, 4.9938]], "species": ["Ba", "Ca", "Ca", "Ru"], "fractional_positions": [[0.0000, 0.0000, 0.0000], [0.0000, 0.5000, 0.5000], [0.5000, 0.0000, 0.5000], [0.5000, 0.5000, 0.0000]]}

2.
{"formula": "MgIrSe2", "functional": "PBE-GGA", "state": "relaxed", "dos_at_fermi_per_ev_cell": 2.106, "volume_a3_per_fu": 76, "space_group": "No. 44", "e_form_raw_ev_per_atom": -0.135, "magmom_total_mub_per_fu": 0.00, "lattice_angstrom": [[-1.5268, 2.1410, 5.8491], [1.5268, -2.1410, 5.8491], [1.5268, 2.1410, -5.8491]], "species": ["Mg", "Ir", "Se", "Se"], "fractional_positions": [[0.0000, 0.0000, 0.0000], [0.2094, 0.7094, 0.5000], [0.3886, 0.3886, 0.0000], [0.6651, 0.1651, 0.5000]]}

3.
{"formula": "Sb3SeI", "functional": "PBE-GGA", "state": "relaxed", "dos_at_fermi_per_ev_cell": 6.896, "volume_a3_per_fu": 191, "space_group": "No. 221", "e_form_raw_ev_per_atom": 1.284, "magmom_total_mub_per_fu": 0.00, "lattice_angstrom": [[5.7603, 0.0000, 0.0000], [0.0000, 5.7603, 0.0000], [0.0000, 0.0000, 5.7603]], "species": ["Sb", "Sb", "Sb", "Se", "I"], "fractional_positions": [[0.0000, 0.0000, 0.5000], [0.0000, 0.5000, 0.0000], [0.5000, 0.0000, 0.0000], [0.5000, 0.5000, 0.5000], [0.0000, 0.0000, 0.0000]]}